1.
VASP calculation (PBE) on a relaxed structure of Pr2SnCl.

Unit cell a=3.567 b=3.567 c=8.412 alpha=90.00 beta=90.00 gamma=90.00
Fractional coordinates of all 4 atoms:
1 Pr 0.000 0.000 0.245
2 Cl 0.500 0.500 0.000
3 Sn 0.500 0.500 0.500
4 Pr 0.000 0.000 0.755

Output
formation energy (no corrections): -98.05 kJ/mol of atoms
DFT total energy: -4.868 eV per atom
N(E_F): 0.687 states/eV per atom
relative energy among the computed polymorphs: 95 meV per atom
total magnetization: 0.00 μB/atom

---

2.
VASP calculation (PBE) on a relaxed structure of Pr3SnTeCl.

Unit cell a=4.581 b=8.914 c=9.785 alpha=99.38 beta=90.00 gamma=90.00
Fractional coordinates of all 12 atoms:
1 Cl 0.750 0.906 0.424
2 Pr 0.250 0.739 0.483
3 Pr 0.250 0.105 0.869
4 Te 0.250 0.166 0.215
5 Pr 0.750 0.895 0.131
6 Sn 0.750 0.344 0.839
7 Te 0.750 0.834 0.785
8 Pr 0.750 0.411 0.163
9 Sn 0.250 0.656 0.161
10 Pr 0.250 0.589 0.837
11 Cl 0.250 0.094 0.576
12 Pr 0.750 0.261 0.517

Output
formation energy (no corrections): -107.51 kJ/mol of atoms
DFT total energy: -5.003 eV per atom
N(E_F): 0.586 states/eV per atom
total magnetization: 0.10 μB/atom

---

3.
VASP calculation (PBE) on a relaxed structure of PrTlSn2Cl8.

Unit cell a=6.951 b=6.538 c=9.133 alpha=92.28 beta=93.01 gamma=88.55
Fractional coordinates of all 12 atoms:
1 Cl 0.678 0.748 0.964
2 Cl 0.816 0.220 0.220
3 Cl 0.360 0.282 0.455
4 Cl 0.640 0.718 0.545
5 Sn 0.489 0.497 0.254
6 Cl 0.184 0.780 0.780
7 Cl 0.322 0.252 0.036
8 Cl 0.144 0.746 0.219
9 Pr 0.000 0.000 0.000
10 Tl 0.000 0.000 0.500
11 Cl 0.856 0.254 0.781
12 Sn 0.511 0.503 0.746

Output
formation energy (no corrections): -137.01 kJ/mol of atoms
DFT total energy: -3.914 eV per atom
N(E_F): 0.000 states/eV per atom
total magnetization: 0.00 μB/atom

---

4.
VASP calculation (PBE) on a relaxed structure of SrPrCl.

Unit cell a=3.872 b=3.873 c=15.135 alpha=90.00 beta=90.00 gamma=119.99
Fractional coordinates of all 6 atoms:
1 Cl 0.611 0.223 0.362
2 Sr 0.278 0.555 0.793
3 Pr 0.611 0.221 0.000
4 Pr 0.278 0.556 0.500
5 Sr 0.278 0.555 0.207
6 Cl 0.611 0.223 0.638

Output
formation energy (no corrections): -93.15 kJ/mol of atoms
DFT total energy: -3.735 eV per atom
N(E_F): 0.491 states/eV per atom
total magnetization: 0.00 μB/atom

---

5.
VASP calculation (PBE) on a relaxed structure of SrPrCl4.

Unit cell a=6.793 b=6.967 c=7.616 alpha=90.00 beta=87.27 gamma=90.00
Fractional coordinates of all 12 atoms:
1 Cl 0.838 0.658 0.175
2 Cl 0.131 0.857 0.659
3 Cl 0.338 0.842 0.175
4 Cl 0.869 0.143 0.341
5 Pr 0.500 0.500 0.000
6 Cl 0.369 0.357 0.341
7 Cl 0.662 0.158 0.825
8 Cl 0.631 0.643 0.659
9 Pr 0.000 0.000 0.000
10 Sr 0.500 0.000 0.500
11 Cl 0.162 0.342 0.825
12 Sr 0.000 0.500 0.500

Output
formation energy (no corrections): -203.25 kJ/mol of atoms
DFT total energy: -4.415 eV per atom
N(E_F): 0.199 states/eV per atom
total magnetization: 0.17 μB/atom

---

6.
VASP calculation (PBE) on a relaxed structure of SrPrTe2Cl.

Unit cell a=4.610 b=4.610 c=16.392 alpha=90.00 beta=90.00 gamma=90.00
Fractional coordinates of all 10 atoms:
1 Sr 0.500 0.000 0.612
2 Te 0.000 0.500 0.092
3 Pr 0.500 0.000 0.117
4 Cl 0.000 0.000 0.500
5 Te 0.500 0.000 0.908
6 Pr 0.000 0.500 0.883
7 Te 0.500 0.000 0.298
8 Cl 0.500 0.500 0.500
9 Te 0.000 0.500 0.702
10 Sr 0.000 0.500 0.388

Output
formation energy (no corrections): -165.06 kJ/mol of atoms
DFT total energy: -4.629 eV per atom
N(E_F): 0.359 states/eV per atom
total magnetization: 0.00 μB/atom